[1]
# NbAlRe2 PBE optimized geometry
data_NbAlRe2
_symmetry_space_group_name_H-M 'F -4 3 m'
_symmetry_Int_Tables_number 216
_symmetry_space_group_name_Hall 'F -4 2 3'
_cell_length_a 6.2862
_cell_length_b 6.2862
_cell_length_c 6.2862
_cell_angle_alpha 90.00
_cell_angle_beta 90.00
_cell_angle_gamma 90.00
loop_
_atom_site_label
_atom_site_type_symbol
_atom_site_fract_x
_atom_site_fract_y
_atom_site_fract_z
_atom_site_occupancy
Nb1 Nb 0.0000 0.0000 0.0000 1
Al1 Al 0.2500 0.2500 0.7500 1
Re1 Re 0.0000 0.0000 0.5000 1
Re2 Re 0.2500 0.2500 0.2500 1
# **Raw total energy**: -9.697 eV per atom
# **ρ**: 13163 kg/m³

[2]
# NbAl2Re2 PBE optimized geometry
data_NbAl2Re2
_symmetry_space_group_name_H-M 'I 4/m m m'
_symmetry_Int_Tables_number 139
_symmetry_space_group_name_Hall '-I 4 2'
_cell_length_a 3.7241
_cell_length_b 3.7241
_cell_length_c 11.8806
_cell_angle_alpha 90.00
_cell_angle_beta 90.00
_cell_angle_gamma 90.00
loop_
_atom_site_label
_atom_site_type_symbol
_atom_site_fract_x
_atom_site_fract_y
_atom_site_fract_z
_atom_site_occupancy
Nb1 Nb 0.0000 0.0000 0.0000 1
Al1 Al 0.0000 0.0000 0.4007 1
Re1 Re 0.0000 0.5000 0.2500 1
# **Raw total energy**: -8.189 eV per atom
# **ρ**: 10466 kg/m³

[3]
# NbAl2Re2 PBE optimized geometry
data_NbAl2Re2
_symmetry_space_group_name_H-M 'I 4/m m m'
_symmetry_Int_Tables_number 139
_symmetry_space_group_name_Hall '-I 4 2'
_cell_length_a 3.4619
_cell_length_b 3.4619
_cell_length_c 13.5890
_cell_angle_alpha 90.00
_cell_angle_beta 90.00
_cell_angle_gamma 90.00
loop_
_atom_site_label
_atom_site_type_symbol
_atom_site_fract_x
_atom_site_fract_y
_atom_site_fract_z
_atom_site_occupancy
Nb1 Nb 0.0000 0.0000 0.0000 1
Al1 Al 0.0000 0.5000 0.2500 1
Re1 Re 0.0000 0.0000 0.3967 1
# **Raw total energy**: -8.330 eV per atom
# **ρ**: 10589 kg/m³